1.
# YMnZnBi2 | Alexandria | PBE | relaxed
data_YMnZnBi2
_chemical_formula_sum 'Y1 Mn1 Zn1 Bi2'
_cell_length_a 5.310
_cell_length_b 5.310
_cell_length_c 5.426
_cell_angle_alpha 90.00
_cell_angle_beta 90.00
_cell_angle_gamma 90.00
_space_group_name_H-M_alt 'P 1'
_space_group_IT_number 1
_space_group_name_Hall 'P 1'
loop_
_atom_site_label
_atom_site_type_symbol
_atom_site_fract_x
_atom_site_fract_y
_atom_site_fract_z
Y1 Y 0.000 0.000 0.000
Mn1 Mn 0.500 0.500 0.000
Zn1 Zn 0.000 0.000 0.500
Bi1 Bi 0.000 0.500 0.500
Bi2 Bi 0.500 0.000 0.500
# **Magnetization**: 4.52 μB per formula unit
# **Electronic total energy**: -4.36 eV/atom
# **DFT formation energy**: 0.5706 eV/atom



2.
# Pa4RuPt | Alexandria | PBE | relaxed
data_Pa4RuPt
_chemical_formula_sum 'Pa8 Ru2 Pt2'
_cell_length_a 6.878
_cell_length_b 6.878
_cell_length_c 5.695
_cell_angle_alpha 90.00
_cell_angle_beta 90.00
_cell_angle_gamma 90.00
_space_group_name_H-M_alt 'P 1'
_space_group_IT_number 1
_space_group_name_Hall 'P 1'
loop_
_atom_site_label
_atom_site_type_symbol
_atom_site_fract_x
_atom_site_fract_y
_atom_site_fract_z
Pa1 Pa 0.142 0.344 0.000
Pa2 Pa 0.142 0.656 0.500
Pa3 Pa 0.344 0.142 0.500
Pa4 Pa 0.344 0.858 0.000
Pa5 Pa 0.656 0.142 0.000
Pa6 Pa 0.656 0.858 0.500
Pa7 Pa 0.858 0.344 0.500
Pa8 Pa 0.858 0.656 0.000
Ru1 Ru 0.000 0.000 0.250
Ru2 Ru 0.000 0.000 0.750
Pt1 Pt 0.500 0.500 0.250
Pt2 Pt 0.500 0.500 0.750
# **Magnetization**: 0.00 μB per formula unit
# **Electronic total energy**: -9.34 eV/atom
# **DFT formation energy**: -0.4528 eV/atom



3.
# Rb2SbSCl3 | Alexandria | PBE | relaxed
data_Rb2SbSCl3
_chemical_formula_sum 'Rb2 Sb1 S1 Cl3'
_cell_length_a 9.155
_cell_length_b 9.155
_cell_length_c 9.155
_cell_angle_alpha 146.99
_cell_angle_beta 145.06
_cell_angle_gamma 48.83
_space_group_name_H-M_alt 'P 1'
_space_group_IT_number 1
_space_group_name_Hall 'P 1'
loop_
_atom_site_label
_atom_site_type_symbol
_atom_site_fract_x
_atom_site_fract_y
_atom_site_fract_z
Rb1 Rb 0.137 0.137 0.000
Rb2 Rb 0.863 0.863 0.000
Sb1 Sb 0.500 0.500 0.000
S1 S 0.500 0.000 0.500
Cl1 Cl 0.000 0.500 0.500
Cl2 Cl 0.336 0.336 0.000
Cl3 Cl 0.664 0.664 0.000
# **Magnetization**: 0.00 μB per formula unit
# **Electronic total energy**: -3.50 eV/atom
# **Uncorrected formation energy**: -28.9 kcal/mol of atoms



4.
# ZrAg | Alexandria | PBE | relaxed
data_ZrAg
_chemical_formula_sum 'Zr1 Ag1'
_cell_length_a 4.394
_cell_length_b 4.394
_cell_length_c 4.394
_cell_angle_alpha 60.00
_cell_angle_beta 60.00
_cell_angle_gamma 60.00
_space_group_name_H-M_alt 'P 1'
_space_group_IT_number 1
_space_group_name_Hall 'P 1'
loop_
_atom_site_label
_atom_site_type_symbol
_atom_site_fract_x
_atom_site_fract_y
_atom_site_fract_z
Zr1 Zr 0.000 0.000 0.000
Ag1 Ag 0.250 0.250 0.250
# **Magnetization**: 0.67 μB per formula unit
# **Electronic total energy**: -4.49 eV/atom
# **DFT formation energy**: 1.2083 eV/atom



5.
# PmEr5Ga4 | Alexandria | PBE | relaxed
data_PmEr5Ga4
_chemical_formula_sum 'Pm1 Er5 Ga4'
_cell_length_a 8.803
_cell_length_b 8.803
_cell_length_c 8.711
_cell_angle_alpha 97.08
_cell_angle_beta 97.08
_cell_angle_gamma 24.08
_space_group_name_H-M_alt 'P 1'
_space_group_IT_number 1
_space_group_name_Hall 'P 1'
loop_
_atom_site_label
_atom_site_type_symbol
_atom_site_fract_x
_atom_site_fract_y
_atom_site_fract_z
Pm1 Pm 0.000 0.000 0.000
Er1 Er 0.000 0.000 0.500
Er2 Er 0.311 0.311 0.658
Er3 Er 0.350 0.350 0.228
Er4 Er 0.650 0.650 0.772
Er5 Er 0.689 0.689 0.342
Ga1 Ga 0.188 0.188 0.053
Ga2 Ga 0.476 0.476 0.736
Ga3 Ga 0.524 0.524 0.264
Ga4 Ga 0.812 0.812 0.947
# **Magnetization**: 0.00 μB per formula unit
# **Electronic total energy**: -4.24 eV/atom
# **DFT formation energy**: -0.2740 eV/atom



6.
# AlTcPb2 | Alexandria | PBE | relaxed
data_AlTcPb2
_chemical_formula_sum 'Al1 Tc1 Pb2'
_cell_length_a 3.533
_cell_length_b 4.713
_cell_length_c 5.164
_cell_angle_alpha 90.00
_cell_angle_beta 90.00
_cell_angle_gamma 90.00
_space_group_name_H-M_alt 'P 1'
_space_group_IT_number 1
_space_group_name_Hall 'P 1'
loop_
_atom_site_label
_atom_site_type_symbol
_atom_site_fract_x
_atom_site_fract_y
_atom_site_fract_z
Al1 Al 0.000 0.000 0.000
Tc1 Tc 0.500 0.000 0.500
Pb1 Pb 0.000 0.500 0.500
Pb2 Pb 0.500 0.500 0.000
# **Magnetization**: 0.00 μB per formula unit
# **Electronic total energy**: -4.70 eV/atom
# **DFT formation energy**: 0.6850 eV/atom